{
  "formula": "PmNdHoEr",
  "functional": "PBE-GGA",
  "state": "optimized geometry",
  "lattice": [[5.087, 0.000, 0.000], [0.000, 5.087, 0.000], [0.000, 0.000, 10.121]],
  "species": ["Pm", "Pm", "Nd", "Nd", "Ho", "Ho", "Er", "Er"],
  "fractional_positions": [[0.000, 0.000, 0.000], [0.500, 0.500, 0.500], [0.000, 0.500, 0.250], [0.500, 0.000, 0.750], [0.000, 0.500, 0.750], [0.500, 0.000, 0.250], [0.000, 0.000, 0.500], [0.500, 0.500, 0.000]],
  "de_polymorph_ev_per_atom": 0.000,
  "magmom_total_mub_per_cell": 0.005,
  "e_form_ev_per_atom": 0.0196,
  "final_energy_ev_per_fu": -18.6,
  "sg": "I-4m2 (119)"
}